Here is an optimized crystal structure of MgSbSe2 from the Alexandria database. Energies are from GGA-PBE.

Calculated values
The calculation puts the formation energy (no corrections) at -0.279 eV/atom. Its space-group type is P4/mmm, No. 123. Its crystal system is tetragonal.

a = 3.5206 Å, b = 3.5206 Å, c = 7.0736 Å
α = 90.00°, β = 90.00°, γ = 90.00°
Positions (direct):
Mg1 0.0000 0.0000 0.0000
Sb1 0.0000 0.0000 0.5000
Se1 0.5000 0.5000 0.2313
Se2 0.5000 0.5000 0.7687



Here is an optimized crystal structure of MgSb3Se from the Alexandria database. Energies are from GGA-PBE.

Calculated values
The calculation puts the formation energy (no corrections) at 0.673 eV/atom. Its space-group type is Pm-3m, No. 221. Its crystal system is cubic.

a = 5.3275 Å, b = 5.3275 Å, c = 5.3275 Å
α = 90.00°, β = 90.00°, γ = 90.00°
Positions (direct):
Mg1 0.0000 0.0000 0.0000
Sb1 0.0000 0.0000 0.5000
Sb2 0.0000 0.5000 0.0000
Sb3 0.5000 0.0000 0.0000
Se1 0.5000 0.5000 0.5000



Here is an optimized crystal structure of MgSb2Se from the Alexandria database. Energies are from GGA-PBE.

Calculated values
The calculation puts the formation energy (no corrections) at -0.278 eV/atom. Its space-group type is C2/m, No. 12. Its crystal system is monoclinic.

a = 6.5808 Å, b = 6.5808 Å, c = 4.3113 Å
α = 108.11°, β = 108.11°, γ = 37.66°
Positions (direct):
Mg1 0.0000 0.0000 0.0000
Sb1 0.2533 0.2533 0.2322
Sb2 0.7467 0.7467 0.7678
Se1 0.5000 0.5000 0.5000



Here is an optimized crystal structure of MgSb2Se from the Alexandria database. Energies are from GGA-PBE.

Calculated values
The calculation puts the formation energy (no corrections) at 0.013 eV/atom. Its space-group type is Pmmm, No. 47. Its crystal system is orthorhombic.

a = 4.0420 Å, b = 4.2462 Å, c = 5.9113 Å
α = 90.00°, β = 90.00°, γ = 90.00°
Positions (direct):
Mg1 0.0000 0.0000 0.0000
Sb1 0.5000 0.5000 0.2403
Sb2 0.5000 0.5000 0.7597
Se1 0.0000 0.0000 0.5000



Here is an optimized crystal structure of MgSbSe2 from the Alexandria database. Energies are from GGA-PBE.

Calculated values
The calculation puts the formation energy (no corrections) at -0.392 eV/atom. Its space-group type is I4/mmm, No. 139. Its crystal system is tetragonal.

a = 5.0225 Å, b = 5.0225 Å, c = 5.0225 Å
α = 110.52°, β = 110.52°, γ = 107.40°
Positions (direct):
Mg1 0.0000 0.0000 0.0000
Sb1 0.5000 0.5000 0.0000
Se1 0.0000 0.5000 0.5000
Se2 0.5000 0.0000 0.5000



Here is an optimized crystal structure of MgSbSe2 from the Alexandria database. Energies are from GGA-PBE.

Calculated values
The calculation puts the formation energy (no corrections) at -0.328 eV/atom. Its space-group type is Immm, No. 71. Its crystal system is orthorhombic.

a = 5.5838 Å, b = 5.5838 Å, c = 5.5838 Å
α = 138.69°, β = 100.66°, γ = 93.66°
Positions (direct):
Mg1 0.0000 0.0000 0.0000
Sb1 0.5000 0.5000 0.0000
Se1 0.2344 0.7344 0.5000
Se2 0.7656 0.2656 0.5000



Here is an optimized crystal structure of MgSbSe2 from the Alexandria database. Energies are from GGA-PBE.

Calculated values
The calculation puts the formation energy (no corrections) at 0.118 eV/atom. Its space-group type is F-43m, No. 216. Its crystal system is cubic.

a = 5.0432 Å, b = 5.0432 Å, c = 5.0432 Å
α = 60.00°, β = 60.00°, γ = 60.00°
Positions (direct):
Mg1 0.0000 0.0000 0.0000
Sb1 0.2500 0.2500 0.2500
Se1 0.5000 0.5000 0.5000
Se2 0.7500 0.7500 0.7500



Here is an optimized crystal structure of MgSbSe2 from the Alexandria database. Energies are from GGA-PBE.

Calculated values
The calculation puts the formation energy (no corrections) at -0.485 eV/atom. Its space-group type is C2/m, No. 12. Its crystal system is monoclinic.

a = 4.2565 Å, b = 4.2565 Å, c = 7.0116 Å
α = 103.87°, β = 103.87°, γ = 52.94°
Positions (direct):
Mg1 0.0000 0.0000 0.0000
Sb1 0.5000 0.5000 0.5000
Se1 0.2851 0.2851 0.7744
Se2 0.7149 0.7149 0.2256



no.,final energy (eV/atom),relative energy among the computed polymorphs (meV per atom)
1,-3.450,262
2,-2.816,136
3,-3.609,63
4,-3.318,354
5,-3.564,149
6,-3.500,212
7,-3.053,659
8,-3.657,56